! Ce2CoPd GGA-PBE optimized geometry; values from VASP
! **Energy above the lowest structure with this stoichiometry**: 0 meV/atom
! **Total magnetic moment**: 0.70 μB/f.u.
! **Volume**: 82 Å³/f.u.
! **D(E_F)**: 7.71 states/eV/cell
! **Space group**: No. 123
! **DFT formation energy**: -1.46 eV/f.u.
! **Electronic total energy**: -25.6 eV/cell
&SYSTEM
  ibrav = 0, nat = 4, ntyp = 3
/
ATOMIC_SPECIES
Co 58.93 Co.upf
Pd 106.42 Pd.upf
Ce 140.12 Ce.upf
CELL_PARAMETERS angstrom
3.497 0.000 0.000
0.000 3.497 0.000
0.000 0.000 6.687
ATOMIC_POSITIONS crystal
Co 0.500 0.500 0.000
Pd 0.500 0.500 0.500
Ce 0.000 0.000 0.783
Ce 0.000 0.000 0.217